# K2ThH2S4

An optimized crystal structure of K2ThH2S4 (PBE, Alexandria via LeMat-Bulk).

Summary:
volume: 25.236 A^3/atom
raw total energy: -4.794 eV/atom
space group: No. 12
M_tot: 0.0 Bohr magnetons per cell

Unit cell a=4.0925 b=7.7546 c=7.9846 alpha=111.22 beta=104.85 gamma=90.00
Closest atoms and distances in Å follow each position.
Element x y z (fractional)
S: 0.2001 0.2063 0.4002  1 H 1.35
S: 0.5123 0.7679 0.0245  2 Th 2.78
S: 0.4877 0.2321 0.9755  2 Th 2.78
S: 0.7999 0.7937 0.5998  1 H 1.35
K: 0.1331 0.5859 0.2662  7 S 3.21-3.48, 3 H 3.42-3.45
K: 0.8669 0.4141 0.7338  7 S 3.21-3.48, 3 H 3.42-3.45
Th: 0.0000 0.0000 0.0000  6 S 2.78-2.90
H: 0.2282 0.0610 0.4564  1 S 1.35
H: 0.7718 0.9390 0.5436  1 S 1.35